First-principles (PBE with a Hubbard U) data for a geometry-optimized KMgMn2AlGe3O10F2 structure, as listed in the Alexandria database.

* space group: P1, No. 1
* volume: 14.2 Å³/atom
* total magnetization: 0.50 μB/atom
* final energy: -132.34 eV per cell

a b c (Å): 5.563 5.564 10.766
angles (deg): 95.29 95.00 119.89
Sites, in units of the cell vectors:
K 0.000 0.000 0.000
Mg 0.186 0.837 0.536
Mn 0.509 0.504 0.539
Mn 0.854 0.182 0.539
Al 0.270 0.601 0.803
Ge 0.422 0.753 0.259
Ge 0.602 0.263 0.808
Ge 0.758 0.422 0.259
O 0.066 0.623 0.190
O 0.217 0.553 0.635
O 0.390 0.954 0.868
O 0.472 0.805 0.424
O 0.505 0.502 0.193
O 0.527 0.523 0.861
O 0.538 0.195 0.638
O 0.630 0.064 0.194
O 0.820 0.481 0.424
O 0.956 0.380 0.861
F 0.146 0.112 0.432
F 0.900 0.870 0.629